1.
Entry from the Alexandria database: Tm4HgSe5 after structural relaxation (PBE).

a b c (Å): 9.5328 9.5328 8.8753
angles (deg): 106.78 106.78 24.14
With the nearest neighbours (Å) after each atom.
Element x y z (fractional)
Tm (0.0169, 0.0169, 0.2320)  4 Se 2.78-2.82
Tm (0.3283, 0.3283, 0.4314)  5 Se 2.77-2.85, 1 Hg 3.08
Tm (0.6717, 0.6717, 0.5686)  5 Se 2.77-2.85, 1 Hg 3.08
Tm (0.9831, 0.9831, 0.7680)  4 Se 2.78-2.82
Hg (0.5000, 0.5000, 0.5000)  6 Tm 3.08-3.19, 4 Se 3.37
Se (0.1284, 0.1284, 0.7444)  3 Tm 2.78-2.79
Se (0.1730, 0.1730, 0.3392)  4 Tm 2.77-2.85
Se (0.5000, 0.5000, 0.0000)  4 Tm 2.82
Se (0.8270, 0.8270, 0.6608)  4 Tm 2.77-2.85
Se (0.8716, 0.8716, 0.2556)  3 Tm 2.78-2.79

Summary:
The theoretical density comes out at 6.7 Mg/m³. Its uncorrected formation energy is -1.4636 eV/atom. Its symmetry is C2/m (12). The value obtained for the density of states at the Fermi level is 0.261 states/eV per cell.

2.
Entry from the Alexandria database: InAsW2 after structural relaxation (PBE).

a b c (Å): 5.3145 5.3145 5.3145
angles (deg): 142.90 128.19 65.42
With the nearest neighbours (Å) after each atom.
Element x y z (fractional)
In (0.0000, 0.0000, 0.0000)  8 W 2.87-3.12, 4 As 2.97-3.09
As (0.2728, 0.7728, 0.5000)  6 W 2.64-2.89
W (0.4992, 0.4992, 0.0000)  2 As 2.64, 2 W 2.69, 4 In 2.87
W (0.7326, 0.2326, 0.5000)  2 W 2.69, 4 As 2.89, 2 In 2.93

Summary:
The theoretical density comes out at 13.2 Mg/m³. The calculation puts the formation energy at 13.9 kcal/mol of atoms. Its symmetry is Imm2 (44). The offset from the most stable computed form comes out at 379.0 meV per atom. The value obtained for the density of states at the Fermi level is 2.244 states/eV per cell.

3.
Entry from the Alexandria database: CeNdVN3 after structural relaxation (PBE).

a b c (Å): 7.4377 3.5010 7.5649
angles (deg): 90.00 96.30 90.00
With the nearest neighbours (Å) after each atom.
Element x y z (fractional)
Ce (0.1306, 0.2500, 0.1752)  3 N 2.29-2.44
Ce (0.8694, 0.7500, 0.8248)  3 N 2.29-2.44
Nd (0.3390, 0.7500, 0.8352)  5 N 2.43-2.70
Nd (0.6610, 0.2500, 0.1648)  5 N 2.43-2.70
V (0.4083, 0.7500, 0.4061)  4 N 1.87-1.95
V (0.5917, 0.2500, 0.5939)  4 N 1.87-1.95
N (0.0984, 0.2500, 0.8707)  3 Ce 2.29-2.44, 2 Nd 2.54
N (0.3404, 0.2500, 0.4896)  3 V 1.95
N (0.3843, 0.7500, 0.1581)  1 V 1.87
N (0.6157, 0.2500, 0.8419)  1 V 1.87
N (0.6596, 0.7500, 0.5104)  3 V 1.95
N (0.9016, 0.7500, 0.1293)  3 Ce 2.29-2.44, 2 Nd 2.54

Summary:
The theoretical density comes out at 6.4 Mg/m³. Its uncorrected formation energy is -1.1923 eV/atom. Its symmetry is P2_1/m (11). The value obtained for the density of states at the Fermi level is 8.428 states/eV per cell.